1.
Here is an optimized crystal structure of Pr2Gd from Alexandria via LeMat-Bulk. Energies are from PBE.

Results
Total magnetic moment   7.8 μB/cell
SG   I4/mmm (139)
Energy relative to the lowest polymorph listed for this composition   0 meV/atom

Cell: 4.303 4.303 6.451 Å, 109.49 109.49 90.00°
Element x y z (fractional)
1 Pr 0.840 0.840 0.679
2 Pr 0.160 0.160 0.321
3 Gd 0.500 0.500 0.000

---

2.
Here is an optimized crystal structure of Er4ZnAu3 from Alexandria via LeMat-Bulk. Energies are from PBE.

Results
Total magnetic moment   0.0 μB/cell
SG   Pmm2 (25)
Energy relative to the lowest polymorph listed for this composition   12 meV/atom

Cell: 3.682 4.637 10.924 Å, 90.00 90.00 90.00°
Element x y z (fractional)
1 Er 0.500 0.500 0.360
2 Er 0.500 0.000 0.640
3 Er 0.000 0.500 0.858
4 Er 0.000 0.000 0.140
5 Zn 0.500 0.500 0.082
6 Au 0.000 0.000 0.412
7 Au 0.000 0.500 0.588
8 Au 0.500 0.000 0.920

---

3.
Here is an optimized crystal structure of Rb3Na3ZnCl8 from Alexandria via LeMat-Bulk. Energies are from PBE.

Results
Total magnetic moment   0.0 μB/cell
SG   R-3m (166)
Formation energy without anion corrections   -1.69 eV per atom

Cell: 8.329 8.333 8.890 Å, 117.97 90.00 119.98°
Element x y z (fractional)
1 Rb 0.000 0.500 0.000
2 Rb 0.000 0.000 0.000
3 Rb 0.500 0.500 0.000
4 Cl 0.736 0.473 0.709
5 Cl 0.769 0.978 0.687
6 Cl 0.791 0.022 0.313
7 Cl 0.791 0.581 0.313
8 Cl 0.209 0.978 0.687
9 Cl 0.209 0.419 0.687
10 Cl 0.231 0.022 0.313
11 Cl 0.264 0.527 0.291
12 Zn 0.000 0.000 0.500
13 Na 0.500 0.500 0.500
14 Na 0.500 0.000 0.500
15 Na 0.000 0.500 0.500

---

4.
Here is an optimized crystal structure of Ac4TmCd5 from Alexandria via LeMat-Bulk. Energies are from PBE.

Results
Total magnetic moment   0.1 μB/cell
SG   P4/mmm (123)
Final energy   -2.83 eV/atom

Cell: 3.979 3.979 20.233 Å, 90.00 90.00 90.00°
Element x y z (fractional)
1 Cd 0.500 0.500 0.500
2 Cd 0.500 0.500 0.080
3 Cd 0.500 0.500 0.920
4 Cd 0.500 0.500 0.707
5 Cd 0.500 0.500 0.293
6 Ac 0.000 0.000 0.604
7 Ac 0.000 0.000 0.812
8 Ac 0.000 0.000 0.188
9 Ac 0.000 0.000 0.396
10 Tm 0.000 0.000 0.000

---

5.
Here is an optimized crystal structure of Tb12CeHo7 from Alexandria via LeMat-Bulk. Energies are from PBE.

Results
Total magnetic moment   3.1 μB/cell
SG   R-3m (166)
Energy relative to the lowest polymorph listed for this composition   0 meV/atom

Cell: 8.721 8.721 8.721 Å, 98.55 98.55 98.55°
Element x y z (fractional)
1 Ce 0.000 0.000 0.000
2 Tb 0.239 0.761 0.500
3 Tb 0.500 0.761 0.239
4 Tb 0.357 0.357 0.088
5 Tb 0.088 0.357 0.357
6 Tb 0.761 0.500 0.239
7 Tb 0.643 0.643 0.912
8 Tb 0.761 0.239 0.500
9 Tb 0.500 0.239 0.761
10 Tb 0.643 0.912 0.643
11 Tb 0.912 0.643 0.643
12 Tb 0.357 0.088 0.357
13 Tb 0.239 0.500 0.761
14 Ho 0.899 0.339 0.899
15 Ho 0.101 0.661 0.101
16 Ho 0.500 0.500 0.500
17 Ho 0.661 0.101 0.101
18 Ho 0.899 0.899 0.339
19 Ho 0.101 0.101 0.661
20 Ho 0.339 0.899 0.899

---

6.
Here is an optimized crystal structure of MgH3Ir6 from Alexandria via LeMat-Bulk. Energies are from PBE.

Results
Total magnetic moment   0.0 μB/cell
SG   Cm (8)
Final energy   -6.48 eV/atom

Cell: 5.249 5.249 5.504 Å, 74.94 74.94 116.16°
Element x y z (fractional)
1 H 0.196 0.857 0.022
2 H 0.087 0.439 0.143
3 H 0.778 0.748 0.142
4 Mg 0.915 0.576 0.655
5 Ir 0.839 0.017 0.323
6 Ir 0.356 0.500 0.323
7 Ir 0.847 0.019 0.808
8 Ir 0.405 0.067 0.170
9 Ir 0.358 0.509 0.808
10 Ir 0.400 0.061 0.660

---

7.
Here is an optimized crystal structure of CsHfI3 from Alexandria via LeMat-Bulk. Energies are from PBE.

Results
Total magnetic moment   0.0 μB/cell
SG   Pm-3m (221)
Formation energy without anion corrections   -0.71 eV per atom

Cell: 5.817 5.817 5.817 Å, 90.00 90.00 90.00°
Element x y z (fractional)
1 I 0.000 0.500 0.000
2 I 0.500 0.000 0.000
3 I 0.000 0.000 0.500
4 Cs 0.500 0.500 0.500
5 Hf 0.000 0.000 0.000

---

8.
Here is an optimized crystal structure of Rb2In6GaAg from Alexandria via LeMat-Bulk. Energies are from PBE.

Results
Total magnetic moment   0.0 μB/cell
SG   R-3m (166)
Final energy   -2.42 eV/atom

Cell: 7.613 7.613 14.146 Å, 74.39 74.39 60.00°
Element x y z (fractional)
1 Ga 0.618 0.618 0.146
2 Ga 0.382 0.382 0.854
3 Rb 0.298 0.298 0.106
4 Rb 0.702 0.702 0.894
5 Rb 0.853 0.853 0.442
6 Rb 0.147 0.147 0.558
7 In 0.809 0.809 0.175
8 In 0.191 0.191 0.825
9 In 0.793 0.191 0.825
10 In 0.191 0.793 0.825
11 In 0.408 0.408 0.335
12 In 0.408 0.850 0.335
13 In 0.207 0.809 0.175
14 In 0.150 0.592 0.665
15 In 0.850 0.408 0.335
16 In 0.592 0.592 0.665
17 In 0.592 0.150 0.665
18 In 0.809 0.207 0.175
19 Ag 0.500 0.500 0.500
20 Ag 0.000 0.000 0.000

---

9.
Here is an optimized crystal structure of Ac5ScPb6 from Alexandria via LeMat-Bulk. Energies are from PBE.

Results
Total magnetic moment   0.1 μB/cell
SG   C2/m (12)
Final energy   -4.51 eV/atom

Cell: 6.193 9.705 10.049 Å, 61.13 72.21 50.76°
Element x y z (fractional)
1 Pb 0.713 0.788 0.000
2 Pb 0.778 0.379 0.687
3 Pb 0.222 0.934 0.687
4 Pb 0.778 0.066 0.313
5 Pb 0.287 0.212 0.000
6 Pb 0.222 0.621 0.313
7 Ac 0.000 0.659 0.682
8 Ac 0.500 0.181 0.639
9 Ac 0.000 0.341 0.318
10 Ac 0.500 0.500 0.000
11 Ac 0.500 0.819 0.361
12 Sc 0.000 0.000 0.000

---

10.
Here is an optimized crystal structure of KTcRhO4 from Alexandria via LeMat-Bulk. Energies are from PBE.

Results
Total magnetic moment   0.0 μB/cell
SG   P2_1/m (11)
Formation energy without anion corrections   -1.04 eV per atom

Cell: 5.329 6.104 7.324 Å, 90.00 104.45 90.00°
Element x y z (fractional)
1 O 0.466 0.250 0.429
2 O 0.344 0.750 0.108
3 O 0.963 0.029 0.675
4 O 0.037 0.529 0.325
5 O 0.037 0.971 0.325
6 O 0.963 0.471 0.675
7 O 0.534 0.750 0.571
8 O 0.656 0.250 0.892
9 Rh 0.093 0.250 0.502
10 Rh 0.907 0.750 0.498
11 K 0.248 0.250 0.044
12 K 0.752 0.750 0.956
13 Tc 0.697 0.250 0.655
14 Tc 0.303 0.750 0.345

---

11.
Here is an optimized crystal structure of ZrPt3 from Alexandria via LeMat-Bulk. Energies are from PBE.

Results
Total magnetic moment   0.0 μB/cell
SG   I4/mmm (139)
Final energy   -7.64 eV/atom

Cell: 4.032 5.013 4.032 Å, 66.29 90.00 113.71°
Element x y z (fractional)
1 Pt 0.500 0.000 0.500
2 Pt 0.750 0.500 0.750
3 Pt 0.000 0.000 0.000
4 Zr 0.250 0.500 0.250

---

12.
Here is an optimized crystal structure of Ho5TmAu6 from Alexandria via LeMat-Bulk. Energies are from PBE.

Results
Total magnetic moment   0.0 μB/cell
SG   Cmmm (65)
Final energy   -4.80 eV/atom

Cell: 5.089 7.090 8.042 Å, 90.00 71.55 90.00°
Element x y z (fractional)
1 Au 0.166 0.751 0.669
2 Au 0.500 0.248 0.000
3 Au 0.834 0.249 0.331
4 Au 0.166 0.249 0.669
5 Au 0.500 0.752 0.000
6 Au 0.834 0.751 0.331
7 Ho 0.333 0.500 0.334
8 Ho 0.334 0.000 0.333
9 Ho 0.666 0.000 0.667
10 Ho 0.000 0.500 0.000
11 Ho 0.667 0.500 0.666
12 Tm 0.000 0.000 0.000